1.
Density functional theory data (PBE-GGA) for crystalline MgCo2Ag at its relaxed geometry.

Cell: 4.453 2.681 4.911 Å, 80.63 90.00 90.00°
Fractional positions:
Ag (0.500, 0.750, 0.750)
Co (0.000, 0.970, 0.016)
Co (0.000, 0.530, 0.484)
Mg (0.500, 0.250, 0.250)

DOS at the Fermi energy in states/eV/f.u.: 3.6
Symmetry: No. 10
Crystal system: monoclinic
Theoretical density in g/cm3: 7.2
Formation enthalpy at 0 K in meV/atom: 298

---

2.
Density functional theory data (PBE-GGA) for crystalline PrCuBi at its relaxed geometry.

Cell: 4.404 4.515 4.515 Å, 120.00 90.00 90.00°
Fractional positions:
Pr (0.695, 0.667, 0.333)
Bi (0.209, 0.333, 0.667)
Cu (0.095, 0.000, 0.000)

DOS at the Fermi energy in states/eV/f.u.: 1.8
Symmetry: No. 156
Crystal system: trigonal
Theoretical density in g/cm3: 8.8
Formation enthalpy at 0 K in meV/atom: -497